# 1
VASP calculation (PBE) on a relaxed structure of TaAg3Sn.

Properties
Distance to the lowest polymorph of the same formula   0.066 eV per atom

Cell lengths 5.067, 5.067, 5.067 Å; angles 90.00, 90.00, 90.00 degrees
Space group Pm-3m (No. 221)
Inequivalent atoms, fractional coordinates:
Ta (0.000, 0.000, 0.000) [1 per cell]
Ag (0.000, 0.500, 0.500) [3 per cell]
Sn (0.500, 0.500, 0.500) [1 per cell]


# 2
VASP calculation (PBE) on a relaxed structure of Ta3AgSn.

Properties
Distance to the lowest polymorph of the same formula   0.000 eV per atom

Cell lengths 4.899, 4.899, 4.899 Å; angles 90.00, 90.00, 90.00 degrees
Space group Pm-3m (No. 221)
Inequivalent atoms, fractional coordinates:
Ta (0.000, 0.000, 0.500) [3 per cell]
Ag (0.000, 0.000, 0.000) [1 per cell]
Sn (0.500, 0.500, 0.500) [1 per cell]


# 3
VASP calculation (PBE) on a relaxed structure of Ta3AgSn.

Properties
Distance to the lowest polymorph of the same formula   0.309 eV per atom

Cell lengths 5.015, 5.015, 5.015 Å; angles 90.00, 90.00, 90.00 degrees
Space group Pm-3m (No. 221)
Inequivalent atoms, fractional coordinates:
Ta (0.000, 0.000, 0.500) [3 per cell]
Ag (0.500, 0.500, 0.500) [1 per cell]
Sn (0.000, 0.000, 0.000) [1 per cell]


# 4
VASP calculation (PBE) on a relaxed structure of Tb4Ag2Sn.

Cell lengths 5.1779, 5.1779, 24.6307 Å; angles 90.00, 90.00, 120.00 degrees
Space group R-3m (No. 166, hexagonal axes)
Inequivalent atoms, fractional coordinates:
Tb (0.0000, 0.0000, 0.1152) [6 per cell]
Tb (0.0000, 0.0000, 0.3691) [6 per cell]
Ag (0.0000, 0.0000, 0.2452) [6 per cell]
Sn (0.0000, 0.0000, 0.5000) [3 per cell]


Uncorrected energy values (in eV/cell) by entry order: -17.355 -33.833 -32.286 -90.217.
E_form values (in eV per atom) by entry order: 1.41 1.72 2.03 -0.26.